! Eu2RhBr | Alexandria via LeMat-Bulk | PBE | relaxed; values from VASP
! Volume   102.3 Å³/f.u.
! Raw formation energy   -0.939 eV/atom
! Raw total energy   -8.333 eV per atom
! D(E_F)   15.9 states/eV/f.u.
! E above lowest polymorph   0.011 eV per atom
&SYSTEM
  ibrav = 0, nat = 4, ntyp = 3
/
ATOMIC_SPECIES
Eu 151.96 Eu.upf
Rh 102.91 Rh.upf
Br 79.90 Br.upf
ATOMIC_POSITIONS crystal
Eu 0.000 0.000 0.217
Eu 0.000 0.000 0.783
Rh 0.500 0.500 0.000
Br 0.500 0.500 0.500
CELL_PARAMETERS angstrom
3.579 0.000 0.000
0.000 3.579 0.000
0.000 0.000 7.988

***

! Eu2RhBr | Alexandria via LeMat-Bulk | PBE | relaxed; values from VASP
! Volume   115.8 Å³/f.u.
! Raw formation energy   -0.951 eV/atom
! Raw total energy   -8.344 eV per atom
! D(E_F)   15.7 states/eV/f.u.
! E above lowest polymorph   0.000 eV per atom
&SYSTEM
  ibrav = 0, nat = 4, ntyp = 3
/
ATOMIC_SPECIES
Eu 151.96 Eu.upf
Rh 102.91 Rh.upf
Br 79.90 Br.upf
ATOMIC_POSITIONS crystal
Eu 0.236 0.236 0.236
Eu 0.764 0.764 0.764
Rh 0.500 0.500 0.500
Br 0.000 0.000 0.000
CELL_PARAMETERS angstrom
2.085 1.204 7.690
-2.085 1.204 7.690
0.000 -2.408 7.690

***

! Eu2RuBr | Alexandria via LeMat-Bulk | PBE | relaxed; values from VASP
! Volume   100.3 Å³/f.u.
! Raw formation energy   -0.616 eV/atom
! Raw total energy   -8.490 eV per atom
! D(E_F)   7.0 states/eV/f.u.
&SYSTEM
  ibrav = 0, nat = 4, ntyp = 3
/
ATOMIC_SPECIES
Eu 151.96 Eu.upf
Ru 101.07 Ru.upf
Br 79.90 Br.upf
ATOMIC_POSITIONS crystal
Eu 0.000 0.000 0.216
Eu 0.000 0.000 0.784
Ru 0.500 0.500 0.000
Br 0.500 0.500 0.500
CELL_PARAMETERS angstrom
3.531 0.000 0.000
0.000 3.531 0.000
0.000 0.000 8.041

***

! EuSBr | Alexandria via LeMat-Bulk | PBE | relaxed; values from VASP
! Volume   102.5 Å³/f.u.
! Raw formation energy   -1.494 eV/atom
! Raw total energy   -6.852 eV per atom
! D(E_F)   4.9 states/eV/f.u.
&SYSTEM
  ibrav = 0, nat = 3, ntyp = 3
/
ATOMIC_SPECIES
Eu 151.96 Eu.upf
S 32.06 S.upf
Br 79.90 Br.upf
ATOMIC_POSITIONS crystal
Eu 0.000 0.000 0.000
S 0.667 0.333 0.191
Br 0.333 0.667 0.730
CELL_PARAMETERS angstrom
4.302 0.000 0.000
-2.151 3.726 0.000
0.000 0.000 6.397

***

! Eu2SbBr | Alexandria via LeMat-Bulk | PBE | relaxed; values from VASP
! Volume   122.6 Å³/f.u.
! Raw formation energy   -1.281 eV/atom
! Raw total energy   -7.867 eV per atom
! D(E_F)   21.4 states/eV/f.u.
&SYSTEM
  ibrav = 0, nat = 4, ntyp = 3
/
ATOMIC_SPECIES
Eu 151.96 Eu.upf
Sb 121.76 Sb.upf
Br 79.90 Br.upf
ATOMIC_POSITIONS crystal
Eu 0.250 0.250 0.250
Eu 0.750 0.750 0.750
Sb 0.000 0.000 0.000
Br 0.500 0.500 0.500
CELL_PARAMETERS angstrom
0.000 3.943 3.943
3.943 0.000 3.943
3.943 3.943 0.000

***

! Eu2SbBr | Alexandria via LeMat-Bulk | PBE | relaxed; values from VASP
! Volume   121.3 Å³/f.u.
! Raw formation energy   -1.222 eV/atom
! Raw total energy   -7.808 eV per atom
! D(E_F)   11.8 states/eV/f.u.
&SYSTEM
  ibrav = 0, nat = 4, ntyp = 3
/
ATOMIC_SPECIES
Eu 151.96 Eu.upf
Sb 121.76 Sb.upf
Br 79.90 Br.upf
ATOMIC_POSITIONS crystal
Eu 0.000 0.500 0.000
Eu 0.500 0.000 0.000
Sb 0.000 0.000 0.500
Br 0.500 0.500 0.500
CELL_PARAMETERS angstrom
5.634 0.000 0.000
0.000 5.634 0.000
0.000 0.000 3.821

***

Question: Among the records above, which one has the lowest volume?
Answer: Eu2RuBr